Computed, not measured: crystalline ZnPtAu2 at its relaxed geometry at the PBEsol level of DFT.

Results
**Formation energy**: -0.19 eV/atom

a b c (Å): 3.9911 3.9911 7.8227
angles (deg): 90.00 90.00 90.00
Closest atoms and distances in Å follow each position.
Space group I-4m2 (No. 119)
Asymmetric unit:
1 Zn 0.0000 0.0000 0.0000 (multiplicity 2)  4 Pt 2.79, 8 Au 2.79-2.82
2 Pt 0.0000 0.5000 0.7500 (multiplicity 2)  4 Zn 2.79, 8 Au 2.79-2.82
3 Au 0.0000 0.0000 0.5000 (multiplicity 2)  4 Pt 2.79, 4 Au 2.79, 4 Zn 2.82
4 Au 0.0000 0.5000 0.2500 (multiplicity 2)  4 Au 2.79, 4 Zn 2.79, 4 Pt 2.82


Computed, not measured: crystalline KTaZn2 at its relaxed geometry at the PBEsol level of DFT.

Results
**Formation energy**: 0.49 eV/atom

a b c (Å): 5.2717 5.2717 2.6869
angles (deg): 90.00 90.00 90.00
Closest atoms and distances in Å follow each position.
Space group P4/mmm (No. 123)
Asymmetric unit:
1 K 0.0000 0.0000 0.0000 (multiplicity 1)  2 K 2.69, 8 Zn 2.96
2 Ta 0.5000 0.5000 0.0000 (multiplicity 1)  2 Ta 2.69, 8 Zn 2.96
3 Zn 0.0000 0.5000 0.5000 (multiplicity 2)  2 Zn 2.69, 4 Ta 2.96, 4 K 2.96


Computed, not measured: crystalline TiSbF2 at its relaxed geometry at the PBEsol level of DFT.

Results
**Total energy**: -5.213 eV/atom

a b c (Å): 6.1070 6.1070 6.1070
angles (deg): 90.00 90.00 90.00
Closest atoms and distances in Å follow each position.
Space group Fm-3m (No. 225)
Asymmetric unit:
1 Ti 0.0000 0.0000 0.0000 (multiplicity 4)  8 F 2.64
2 Sb 0.0000 0.0000 0.5000 (multiplicity 4)  8 F 2.64
3 F 0.2500 0.2500 0.2500 (multiplicity 8)  4 Sb 2.64, 4 Ti 2.64


Computed, not measured: crystalline Hf2Cu2Hg at its relaxed geometry at the PBEsol level of DFT.

Results
**Formation energy**: -0.21 eV/atom

a b c (Å): 6.9315 6.9315 3.5012
angles (deg): 90.00 90.00 90.00
Closest atoms and distances in Å follow each position.
Space group P4/mbm (No. 127)
Asymmetric unit:
1 Hf 0.1672 0.3328 0.0000 (multiplicity 4)  6 Cu 2.69
2 Cu 0.1249 0.6249 0.5000 (multiplicity 4)  1 Cu 2.45, 6 Hf 2.69, 2 Hg 2.74
3 Hg 0.0000 0.0000 0.5000 (multiplicity 2)  4 Cu 2.74


Computed, not measured: crystalline Mg2MnAl2 at its relaxed geometry at the PBEsol level of DFT.

Results
**Formation energy**: 0.50 eV/atom

a b c (Å): 3.8880 3.8880 12.9537
angles (deg): 90.00 90.00 90.00
Closest atoms and distances in Å follow each position.
Space group I4/mmm (No. 139)
Asymmetric unit:
1 Mg 0.0000 0.5000 0.2500 (multiplicity 4)  4 Mg 2.75, 4 Al 2.81
2 Mn 0.0000 0.0000 0.0000 (multiplicity 2)  8 Al 3.00
3 Al 0.0000 0.0000 0.4065 (multiplicity 4)  1 Al 2.42


Computed, not measured: crystalline P2HOsC at its relaxed geometry at the PBEsol level of DFT.

Results
**Total energy**: -6.080 eV/atom

a b c (Å): 4.2983 4.2983 2.7521
angles (deg): 90.00 90.00 90.00
Closest atoms and distances in Å follow each position.
Space group P4/mmm (No. 123)
Asymmetric unit:
1 P 0.0000 0.5000 0.0000 (multiplicity 2)  2 H 2.15
2 H 0.0000 0.0000 0.0000 (multiplicity 1)  2 C 1.38
3 Os 0.5000 0.5000 0.5000 (multiplicity 1)  8 P 2.55, 2 Os 2.75
4 C 0.0000 0.0000 0.5000 (multiplicity 1)  2 H 1.38


Computed, not measured: crystalline Na2SiC at its relaxed geometry at the PBEsol level of DFT.

Results
**Total energy**: -3.103 eV/atom

a b c (Å): 6.3917 6.3917 6.3917
angles (deg): 90.00 90.00 90.00
Closest atoms and distances in Å follow each position.
Space group Fm-3m (No. 225)
Asymmetric unit:
1 Na 0.2500 0.2500 0.2500 (multiplicity 8)  4 C 2.77, 4 Si 2.77
2 Si 0.0000 0.0000 0.0000 (multiplicity 4)  8 Na 2.77
3 C 0.0000 0.0000 0.5000 (multiplicity 4)  8 Na 2.77


Computed, not measured: crystalline Zn3SnRh at its relaxed geometry at the PBEsol level of DFT.

Results
**Formation energy**: 1.23 eV/atom

a b c (Å): 4.8326 4.8326 4.8326
angles (deg): 90.00 90.00 90.00
Closest atoms and distances in Å follow each position.
Space group Pm-3m (No. 221)
Asymmetric unit:
1 Zn 0.0000 0.0000 0.5000 (multiplicity 3)  2 Sn 2.42
2 Sn 0.0000 0.0000 0.0000 (multiplicity 1)  6 Zn 2.42
3 Rh 0.5000 0.5000 0.5000 (multiplicity 1)  12 Zn 3.42


Computed, not measured: crystalline Ba2ZnCu at its relaxed geometry at the PBEsol level of DFT.

Results
**Formation energy**: 0.03 eV/atom

a b c (Å): 3.9436 3.9436 7.8599
angles (deg): 90.00 90.00 90.00
Closest atoms and distances in Å follow each position.
Space group P4/mmm (No. 123)
Asymmetric unit:
1 Ba 0.0000 0.0000 0.2423 (multiplicity 2)  4 Cu 3.38, 4 Zn 3.45
2 Zn 0.5000 0.5000 0.5000 (multiplicity 1)  8 Ba 3.45
3 Cu 0.5000 0.5000 0.0000 (multiplicity 1)  8 Ba 3.38


Computed, not measured: crystalline KSi2Cl at its relaxed geometry at the PBEsol level of DFT.

Results
**Total energy**: -3.758 eV/atom

a b c (Å): 3.7910 3.7910 14.6259
angles (deg): 90.00 90.00 90.00
Closest atoms and distances in Å follow each position.
Space group I4/mmm (No. 139)
Asymmetric unit:
1 K 0.0000 0.0000 0.0000 (multiplicity 2)  4 Cl 2.68
2 Si 0.0000 0.5000 0.2500 (multiplicity 4)  4 Si 2.68
3 Cl 0.0000 0.0000 0.5000 (multiplicity 2)  4 K 2.68


Computed, not measured: crystalline TlRuSe2Br at its relaxed geometry at the PBEsol level of DFT.

Results
**Total energy**: -3.157 eV/atom

a b c (Å): 5.2313 5.2313 5.4059
angles (deg): 90.00 90.00 90.00
Closest atoms and distances in Å follow each position.
Space group P4/mmm (No. 123)
Asymmetric unit:
1 Tl 0.0000 0.0000 0.0000 (multiplicity 1)  4 Se 2.62, 2 Br 2.70
2 Ru 0.5000 0.5000 0.5000 (multiplicity 1)  4 Br 3.70, 8 Se 3.76
3 Se 0.0000 0.5000 0.0000 (multiplicity 2)  2 Tl 2.62
4 Br 0.0000 0.0000 0.5000 (multiplicity 1)  2 Tl 2.70


Computed, not measured: crystalline CdGa3Au at its relaxed geometry at the PBEsol level of DFT.

Results
**Formation energy**: 0.64 eV/atom

a b c (Å): 4.9867 4.9867 4.9867
angles (deg): 90.00 90.00 90.00
Closest atoms and distances in Å follow each position.
Space group Pm-3m (No. 221)
Asymmetric unit:
1 Cd 0.0000 0.0000 0.0000 (multiplicity 1)  6 Ga 2.49
2 Ga 0.0000 0.0000 0.5000 (multiplicity 3)  2 Cd 2.49
3 Au 0.5000 0.5000 0.5000 (multiplicity 1)  12 Ga 3.53


The size of the total moment results, record by record, are as follows: 0.00 0.00 0.00 0.00 7.52 0.00 0.13 0.01 0.00 0.00 3.83 0.00 μB per cell.
The ρ results, record by record, are as follows: 17.44 7.80 6.05 13.52 2.67 8.66 2.19 6.15 5.48 2.07 6.10 6.94 g/cm³.